Material: K2Mg3NbF12
Method: DFT, PBE
State: optimized geometry

```
18
Lattice="3.673 2.121 6.213 -3.673 2.121 6.213 0.000 -4.242 6.213" Properties=species:S:1:pos:R:3 pbc="T T T"
K 0.000 0.000 1.694
K 0.000 0.000 16.945
Mg -1.837 -1.060 6.213
Mg -1.837 1.060 12.426
Mg 0.000 2.121 6.213
Nb 0.000 0.000 9.319
F -1.494 -0.863 8.285
F 0.000 -1.671 5.908
F -1.448 0.836 5.908
F 0.000 -1.725 10.354
F -1.448 -0.836 12.731
F -1.494 0.863 10.354
F 1.494 -0.863 8.285
F 1.448 0.836 5.908
F 0.000 1.725 8.285
F 1.448 -0.836 12.731
F 0.000 1.671 12.731
F 1.494 0.863 10.354
```

## Properties
SG	R-3m
Fermi-level density of states	0.57	states/eV/f.u.
energy relative to the elements, uncorrected	-3198.0	meV per atom